Below is CoIrCl2 after structural relaxation, with properties calculated at the GGA-PBE level.

Structure (POSCAR):
```
CoIrCl2
1.0
-2.550 1.193 -1.309
2.436 -1.109 -1.573
-3.348 -7.241 -0.080
Co Ir Cl
1 1 2
direct
0.500 0.500 0.250
0.500 0.500 0.750
0.000 0.000 0.476
0.000 0.000 0.024
```

Results
- Formation energy (no corrections): 651 meV per atom
- Magnetization: 0.31 μB per atom
- Excess energy over the best structure of this formula in the dataset: 0.564 eV/atom